Er3Mg2In3 | PBE | optimized geometry

The structure in POSCAR format:
```
Er3Mg2In3
1.0
8.907 0.000 0.000
-4.453 7.713 0.000
0.000 0.000 5.967
Er Mg In
6 4 6
Cartesian
-1.052 1.822 1.492 Er
-3.402 5.892 4.476 Er
2.103 0.000 1.492 Er
1.052 1.822 4.476 Er
6.803 0.000 4.476 Er
3.402 5.892 1.492 Er
0.000 5.142 0.000 Mg
0.000 5.142 2.984 Mg
4.453 2.571 0.000 Mg
4.453 2.571 2.984 Mg
-1.797 3.112 4.476 In
-2.657 4.602 1.492 In
3.593 0.000 4.476 In
1.797 3.112 1.492 In
5.313 0.000 1.492 In
2.657 4.602 4.476 In
```

Summary:
Magnetization, μB per formula unit: 0.001
ΔE_f, meV per atom: -297
E_tot, eV/atom: -3.434
SG: P6_3/mcm, No. 193